TlAs5: PBEsol geometry, meta-GGA SCAN.

For the formation energy, the calculation gives 14.7 kJ/mol of atoms. The offset from the most stable computed form comes out at 0 meV/atom. As for the energy: -28.73 eV/atom. The density of states at the Fermi level comes out at 4.88 states/eV/cell.

The space group is Amm2 (No. 38) and the conventional cell measures 5.5614, 3.7862 and 12.1745 Å, with angles of 90.00, 90.00 and 90.00 degrees. The asymmetric unit holds Tl at (0.0000, 0.0000, 0.0000), As at (0.0000, 0.0000, 0.3180), As at (0.0000, 0.0000, 0.6819), As at (0.5000, 0.0000, 0.3291), As at (0.5000, 0.0000, 0.6700) and As at (0.5000, 0.0000, 0.9994).